ScAgB2, relaxed, DFT GGA-PBE; formation energy from the elements = 0.4884 eV/atom; SG = No. 141; M_tot = 0.0 μB per formula unit; E = -5.15 eV/atom
1.0
3.8822 0.0000 0.0000
0.0000 3.8822 0.0000
1.9411 1.9411 7.5935
Ag B Sc
2 4 2
Direct
0.7500 0.2500 0.5000
0.0000 0.0000 0.0000
0.8752 0.6250 0.2500
0.3750 0.1252 0.7500
0.8750 0.1248 0.7500
0.8748 0.1250 0.2500
0.5000 0.5000 0.0000
0.2500 0.7500 0.5000